[1]
A geometry-optimized Fe3W structure. Source: Alexandria, functional PBEsol.

Unit cell a=4.0711 b=5.0570 c=5.0570 alpha=120.00 beta=90.00 gamma=90.00
With the nearest neighbours (Å) after each atom.
Fractional positions:
1 Fe 0.7500 0.6787 0.8393  8 Fe 2.44-2.62, 4 W 2.53-2.54
2 Fe 0.2500 0.8393 0.1607  8 Fe 2.44-2.62, 4 W 2.53-2.54
3 W 0.7500 0.6667 0.3333  12 Fe 2.53-2.54
4 Fe 0.7500 0.1607 0.3213  8 Fe 2.44-2.62, 4 W 2.53-2.54
5 Fe 0.2500 0.3213 0.1607  8 Fe 2.44-2.62, 4 W 2.53-2.54
6 Fe 0.7500 0.1607 0.8393  8 Fe 2.44-2.62, 4 W 2.53-2.54
7 W 0.2500 0.3333 0.6667  12 Fe 2.53-2.54
8 Fe 0.2500 0.8393 0.6787  8 Fe 2.44-2.62, 4 W 2.53-2.54

Calculated values
SG: No. 194
Calculated formation energy (eV/f.u.): 0.0
Magnetic moment (μB per cell): 2.32

---

[2]
A geometry-optimized Fe2W3 structure. Source: Alexandria, functional PBEsol.

Unit cell a=2.7196 b=2.7196 c=10.9091 alpha=82.84 beta=82.84 gamma=60.00
With the nearest neighbours (Å) after each atom.
Fractional positions:
1 Fe 0.6019 0.6019 0.1942  6 W 2.60-2.62, 6 Fe 2.72
2 W 0.0000 0.0000 0.0000  6 Fe 2.62, 6 W 2.72
3 W 0.7954 0.7954 0.6138  3 Fe 2.60, 6 W 2.72
4 Fe 0.3981 0.3981 0.8058  6 W 2.60-2.62, 6 Fe 2.72
5 W 0.2046 0.2046 0.3862  3 Fe 2.60, 6 W 2.72

Calculated values
SG: No. 166
Calculated formation energy (eV/f.u.): 1.9
Magnetic moment (μB per cell): 1.67